An optimized crystal structure of SmTm2Ir, computed with PBE-GGA.

Cell: 3.856 12.195 9.023 Å, 90.00 90.00 90.00°
Atoms (fractional coordinates):
Sm1 0.000 0.070 0.250
Sm2 0.000 0.930 0.750
Sm3 0.500 0.430 0.750
Sm4 0.500 0.570 0.250
Tm1 0.000 0.356 0.066
Tm2 0.000 0.356 0.434
Tm3 0.000 0.644 0.566
Tm4 0.000 0.644 0.934
Tm5 0.500 0.144 0.566
Tm6 0.500 0.144 0.934
Tm7 0.500 0.856 0.066
Tm8 0.500 0.856 0.434
Ir1 0.000 0.250 0.750
Ir2 0.000 0.750 0.250
Ir3 0.500 0.250 0.250
Ir4 0.500 0.750 0.750

- Crystal system: orthorhombic
- Energy above the most stable polymorph in this dataset: 0.79 kcal/mol of atoms
- Total energy: -0.4543 Ry/atom